! TaMn2FeH, relaxed, DFT PBE-GGA; values from VASP
! Relative energy among the computed polymorphs, meV/atom: 0
! Density of states at the Fermi level, states/eV per atom: 0.827
! Volume, Å³/f.u.: 53
! DFT total energy, eV/cell: -42.1
&SYSTEM
  ibrav = 0, nat = 5, ntyp = 4
/
ATOMIC_SPECIES
Mn 54.94 Mn.upf
Fe 55.84 Fe.upf
H 1.01 H.upf
Ta 180.95 Ta.upf
ATOMIC_POSITIONS crystal
Mn 0.500 0.000 0.000
Mn 0.000 0.500 0.000
Fe 0.000 0.000 0.500
H 0.000 0.000 0.000
Ta 0.500 0.500 0.500
CELL_PARAMETERS angstrom
-0.463 2.725 2.474
-1.970 -2.290 2.153
3.217 -1.081 1.793